This record from Alexandria describes a relaxed LiPuNi2 crystal. The functional is GGA-PBE.

Values from the calculation:
Its formation energy is 2 kJ per mole of atoms. As for the space group: No. 123.

a b c (Å): 3.1133 3.1133 6.1436
angles (deg): 90.00 90.00 90.00
Last column: nearest neighbours and their distance in Å.
Fractional coordinates of all 4 atoms:
Li1 0.0000 0.0000 0.0000  8 Ni 2.54
Pu1 0.0000 0.0000 0.5000  8 Ni 2.84, 2 Li 3.07, 4 Pu 3.11
Ni1 0.5000 0.5000 0.2076  4 Li 2.54, 1 Ni 2.55, 4 Pu 2.84
Ni2 0.5000 0.5000 0.7924  4 Li 2.54, 1 Ni 2.55, 4 Pu 2.84